1.
Below is crystalline Dy6HoTh3 at its relaxed geometry, with properties calculated at the GGA-PBE level.

a b c (Å): 9.836 9.836 6.940
angles (deg): 44.87 44.87 60.00
Element x y z (fractional)
Dy 0.101 0.433 0.696
Dy 0.267 0.930 0.204
Dy 0.599 0.267 0.204
Dy 0.433 0.770 0.696
Dy 0.770 0.101 0.696
Dy 0.930 0.599 0.204
Th 0.099 0.099 0.704
Th 0.601 0.601 0.197
Th 0.350 0.350 0.950
Ho 0.850 0.850 0.450

Summary:
- formation energy (meV/atom) = 349
- symmetry = No. 148
- total magnetic moment (μB/f.u.) = 0.00

2.
Below is crystalline Dy6HoTh8 at its relaxed geometry, with properties calculated at the GGA-PBE level.

a b c (Å): 8.833 8.833 8.791
angles (deg): 59.84 59.84 60.00
Element x y z (fractional)
Th 0.333 0.196 0.590
Th 0.804 0.118 0.410
Th 0.196 0.882 0.590
Th 0.118 0.667 0.410
Th 0.577 0.577 0.268
Th 0.882 0.333 0.590
Th 0.667 0.804 0.410
Th 0.423 0.423 0.732
Dy 0.269 0.071 0.124
Dy 0.463 0.731 0.876
Dy 0.537 0.269 0.124
Dy 0.071 0.537 0.124
Dy 0.731 0.929 0.876
Dy 0.929 0.463 0.876
Ho 0.000 0.000 0.000

Summary:
- formation energy (meV/atom) = 139
- symmetry = No. 148
- total magnetic moment (μB/f.u.) = 0.00

3.
Below is crystalline Dy7Ho2Th2 at its relaxed geometry, with properties calculated at the GGA-PBE level.

a b c (Å): 8.593 5.984 8.593
angles (deg): 64.21 95.95 115.79
Element x y z (fractional)
Dy 0.941 0.180 0.592
Dy 0.589 0.373 0.411
Dy 0.592 0.820 0.941
Dy 0.408 0.180 0.059
Dy 0.059 0.820 0.408
Dy 0.411 0.627 0.589
Dy 0.000 0.000 0.000
Ho 0.766 0.119 0.234
Ho 0.234 0.881 0.766
Th 0.211 0.500 0.211
Th 0.789 0.500 0.789

Summary:
- formation energy (meV/atom) = 188
- symmetry = No. 12
- total magnetic moment (μB/f.u.) = 0.00
- offset from the most stable computed form (eV/atom) = 0.009

4.
Below is crystalline DyHo8Th2 at its relaxed geometry, with properties calculated at the GGA-PBE level.

a b c (Å): 6.604 6.558 8.949
angles (deg): 111.49 99.10 90.00
Element x y z (fractional)
Ho 0.903 0.590 0.180
Ho 0.097 0.410 0.820
Ho 0.404 0.826 0.173
Ho 0.596 0.653 0.827
Ho 0.184 0.801 0.601
Ho 0.596 0.174 0.827
Ho 0.816 0.199 0.399
Ho 0.404 0.347 0.173
Dy 0.000 0.000 0.000
Th 0.665 0.753 0.505
Th 0.335 0.247 0.495

Summary:
- formation energy (meV/atom) = 186
- symmetry = No. 12
- total magnetic moment (μB/f.u.) = 0.00
- offset from the most stable computed form (eV/atom) = 0.000

Let's list Fermi-level density of states in order: 19.433 26.381 16.182 15.726 states/eV/cell.